1.
# BiSbTe2, relaxed, DFT PBE-GGA
# Crystal system ... trigonal
# Raw formation energy ... 89 meV/atom
# D(E_F) ... 1.4 states/eV/cell
data_BiSbTe2
_cell_length_a 10.279
_cell_length_b 10.279
_cell_length_c 10.279
_cell_angle_alpha 22.97
_cell_angle_beta 22.97
_cell_angle_gamma 22.97
_space_group_name_H-M_alt 'P 1'
_space_group_IT_number 1
loop_
_space_group_symop_operation_xyz
'x,y,z'
loop_
_atom_site_label
_atom_site_fract_x
_atom_site_fract_y
_atom_site_fract_z
Bi1 0.000 0.000 0.000
Sb1 0.500 0.500 0.500
Te1 0.103 0.103 0.103
Te2 0.897 0.897 0.897

2.
# Bi2SbTe, relaxed, DFT PBE-GGA
# Crystal system ... tetragonal
# Raw formation energy ... 140 meV/atom
# D(E_F) ... 3.7 states/eV/cell
data_Bi2SbTe
_cell_length_a 7.770
_cell_length_b 7.770
_cell_length_c 7.770
_cell_angle_alpha 119.12
_cell_angle_beta 119.12
_cell_angle_gamma 91.53
_space_group_name_H-M_alt 'P 1'
_space_group_IT_number 1
loop_
_space_group_symop_operation_xyz
'x,y,z'
loop_
_atom_site_label
_atom_site_fract_x
_atom_site_fract_y
_atom_site_fract_z
Bi1 0.116 0.625 0.991
Bi2 0.375 0.366 0.491
Bi3 0.634 0.125 0.009
Bi4 0.875 0.884 0.509
Sb1 0.000 0.000 0.000
Sb2 0.750 0.250 0.500
Te1 0.250 0.750 0.500
Te2 0.500 0.500 0.000

3.
# Bi2SbTe, relaxed, DFT PBE-GGA
# Crystal system ... trigonal
# Raw formation energy ... 13 meV/atom
# D(E_F) ... 1.8 states/eV/cell
data_Bi2SbTe
_cell_length_a 8.642
_cell_length_b 8.642
_cell_length_c 8.642
_cell_angle_alpha 28.98
_cell_angle_beta 28.98
_cell_angle_gamma 28.98
_space_group_name_H-M_alt 'P 1'
_space_group_IT_number 1
loop_
_space_group_symop_operation_xyz
'x,y,z'
loop_
_atom_site_label
_atom_site_fract_x
_atom_site_fract_y
_atom_site_fract_z
Bi1 0.000 0.000 0.000
Bi2 0.176 0.176 0.176
Sb1 0.591 0.591 0.591
Te1 0.762 0.762 0.762

4.
# BiSb2Te4, relaxed, DFT PBE-GGA
# Crystal system ... orthorhombic
# Raw formation energy ... -63 meV/atom
# D(E_F) ... 8.1 states/eV/cell
data_BiSb2Te4
_cell_length_a 7.507
_cell_length_b 7.507
_cell_length_c 15.002
_cell_angle_alpha 90.00
_cell_angle_beta 90.00
_cell_angle_gamma 145.58
_space_group_name_H-M_alt 'P 1'
_space_group_IT_number 1
loop_
_space_group_symop_operation_xyz
'x,y,z'
loop_
_atom_site_label
_atom_site_fract_x
_atom_site_fract_y
_atom_site_fract_z
Bi1 0.098 0.902 0.750
Bi2 0.902 0.098 0.250
Sb1 0.363 0.637 0.557
Sb2 0.363 0.637 0.943
Sb3 0.637 0.363 0.057
Sb4 0.637 0.363 0.443
Te1 0.000 0.000 0.000
Te2 0.000 0.000 0.500
Te3 0.272 0.728 0.123
Te4 0.272 0.728 0.377
Te5 0.455 0.545 0.750
Te6 0.545 0.455 0.250
Te7 0.728 0.272 0.623
Te8 0.728 0.272 0.877

5.
# BiSbTe2, relaxed, DFT PBE-GGA
# Crystal system ... trigonal
# Raw formation energy ... -131 meV/atom
# D(E_F) ... 0.4 states/eV/cell
data_BiSbTe2
_cell_length_a 4.372
_cell_length_b 4.372
_cell_length_c 25.775
_cell_angle_alpha 90.00
_cell_angle_beta 90.00
_cell_angle_gamma 120.00
_space_group_name_H-M_alt 'P 1'
_space_group_IT_number 1
loop_
_space_group_symop_operation_xyz
'x,y,z'
loop_
_atom_site_label
_atom_site_fract_x
_atom_site_fract_y
_atom_site_fract_z
Bi1 0.000 0.000 0.000
Bi2 0.000 0.000 0.257
Bi3 0.333 0.667 0.598
Sb1 0.000 0.000 0.417
Sb2 0.000 0.000 0.840
Sb3 0.667 0.333 0.661
Te1 0.333 0.667 0.068
Te2 0.333 0.667 0.340
Te3 0.333 0.667 0.774
Te4 0.667 0.333 0.189
Te5 0.667 0.333 0.483
Te6 0.667 0.333 0.918

6.
# Bi2SbTe, relaxed, DFT PBE-GGA
# Crystal system ... trigonal
# Raw formation energy ... -35 meV/atom
# D(E_F) ... 2.6 states/eV/cell
data_Bi2SbTe
_cell_length_a 7.769
_cell_length_b 7.769
_cell_length_c 7.769
_cell_angle_alpha 34.41
_cell_angle_beta 34.41
_cell_angle_gamma 34.41
_space_group_name_H-M_alt 'P 1'
_space_group_IT_number 1
loop_
_space_group_symop_operation_xyz
'x,y,z'
loop_
_atom_site_label
_atom_site_fract_x
_atom_site_fract_y
_atom_site_fract_z
Bi1 0.247 0.247 0.247
Bi2 0.753 0.753 0.753
Sb1 0.500 0.500 0.500
Te1 0.000 0.000 0.000

7.
# Bi3SbTe6, relaxed, DFT PBE-GGA
# Crystal system ... monoclinic
# Raw formation energy ... -171 meV/atom
data_Bi3SbTe6
_cell_length_a 13.061
_cell_length_b 4.401
_cell_length_c 13.547
_cell_angle_alpha 90.00
_cell_angle_beta 108.59
_cell_angle_gamma 90.00
_space_group_name_H-M_alt 'P 1'
_space_group_IT_number 1
loop_
_space_group_symop_operation_xyz
'x,y,z'
loop_
_atom_site_label
_atom_site_fract_x
_atom_site_fract_y
_atom_site_fract_z
Bi1 0.050 0.250 0.331
Bi2 0.349 0.750 0.436
Bi3 0.426 0.250 0.857
Bi4 0.574 0.750 0.143
Bi5 0.651 0.250 0.564
Bi6 0.950 0.750 0.669
Sb1 0.183 0.750 0.966
Sb2 0.817 0.250 0.034
Te1 0.024 0.250 0.881
Te2 0.129 0.750 0.490
Te3 0.244 0.250 0.264
Te4 0.247 0.750 0.783
Te5 0.385 0.250 0.065
Te6 0.432 0.250 0.610
Te7 0.568 0.750 0.390
Te8 0.615 0.750 0.935
Te9 0.753 0.250 0.217
Te10 0.756 0.750 0.736
Te11 0.871 0.250 0.510
Te12 0.976 0.750 0.119

8.
# Bi2SbTe4, relaxed, DFT PBE-GGA
# Crystal system ... tetragonal
# Raw formation energy ... 46 meV/atom
# D(E_F) ... 3.8 states/eV/cell
data_Bi2SbTe4
_cell_length_a 7.029
_cell_length_b 7.029
_cell_length_c 7.029
_cell_angle_alpha 114.22
_cell_angle_beta 114.22
_cell_angle_gamma 100.35
_space_group_name_H-M_alt 'P 1'
_space_group_IT_number 1
loop_
_space_group_symop_operation_xyz
'x,y,z'
loop_
_atom_site_label
_atom_site_fract_x
_atom_site_fract_y
_atom_site_fract_z
Bi1 0.250 0.750 0.500
Bi2 0.750 0.250 0.500
Sb1 0.000 0.000 0.000
Te1 0.187 0.187 0.544
Te2 0.357 0.813 0.000
Te3 0.643 0.643 0.456
Te4 0.813 0.357 0.000

9.
# Bi3SbTe, relaxed, DFT PBE-GGA
# Crystal system ... cubic
# Raw formation energy ... 738 meV/atom
# D(E_F) ... 6.8 states/eV/cell
data_Bi3SbTe
_cell_length_a 5.837
_cell_length_b 5.837
_cell_length_c 5.837
_cell_angle_alpha 90.00
_cell_angle_beta 90.00
_cell_angle_gamma 90.00
_space_group_name_H-M_alt 'P 1'
_space_group_IT_number 1
loop_
_space_group_symop_operation_xyz
'x,y,z'
loop_
_atom_site_label
_atom_site_fract_x
_atom_site_fract_y
_atom_site_fract_z
Bi1 0.000 0.000 0.500
Bi2 0.000 0.500 0.000
Bi3 0.500 0.000 0.000
Sb1 0.000 0.000 0.000
Te1 0.500 0.500 0.500

10.
# Bi2SbTe, relaxed, DFT PBE-GGA
# Crystal system ... cubic
# Raw formation energy ... 122 meV/atom
# D(E_F) ... 2.1 states/eV/cell
data_Bi2SbTe
_cell_length_a 5.513
_cell_length_b 5.513
_cell_length_c 5.513
_cell_angle_alpha 60.00
_cell_angle_beta 60.00
_cell_angle_gamma 60.00
_space_group_name_H-M_alt 'P 1'
_space_group_IT_number 1
loop_
_space_group_symop_operation_xyz
'x,y,z'
loop_
_atom_site_label
_atom_site_fract_x
_atom_site_fract_y
_atom_site_fract_z
Bi1 0.250 0.250 0.250
Bi2 0.750 0.750 0.750
Sb1 0.000 0.000 0.000
Te1 0.500 0.500 0.500

11.
# Bi3SbTe2, relaxed, DFT PBE-GGA
# Crystal system ... monoclinic
# Raw formation energy ... -51 meV/atom
# D(E_F) ... 7.5 states/eV/cell
data_Bi3SbTe2
_cell_length_a 8.124
_cell_length_b 8.124
_cell_length_c 7.597
_cell_angle_alpha 100.42
_cell_angle_beta 100.42
_cell_angle_gamma 120.26
_space_group_name_H-M_alt 'P 1'
_space_group_IT_number 1
loop_
_space_group_symop_operation_xyz
'x,y,z'
loop_
_atom_site_label
_atom_site_fract_x
_atom_site_fract_y
_atom_site_fract_z
Bi1 0.000 0.500 0.000
Bi2 0.160 0.319 0.499
Bi3 0.319 0.160 0.999
Bi4 0.500 0.000 0.500
Bi5 0.681 0.840 0.001
Bi6 0.840 0.681 0.501
Sb1 0.084 0.916 0.250
Sb2 0.916 0.084 0.750
Te1 0.248 0.752 0.750
Te2 0.416 0.584 0.250
Te3 0.584 0.416 0.750
Te4 0.752 0.248 0.250

12.
# BiSbTe2, relaxed, DFT PBE-GGA
# Crystal system ... monoclinic
# Raw formation energy ... -6 meV/atom
# D(E_F) ... 1.6 states/eV/cell
data_BiSbTe2
_cell_length_a 3.191
_cell_length_b 4.590
_cell_length_c 9.077
_cell_angle_alpha 90.00
_cell_angle_beta 90.66
_cell_angle_gamma 90.00
_space_group_name_H-M_alt 'P 1'
_space_group_IT_number 1
loop_
_space_group_symop_operation_xyz
'x,y,z'
loop_
_atom_site_label
_atom_site_fract_x
_atom_site_fract_y
_atom_site_fract_z
Bi1 0.000 0.000 0.000
Sb1 0.002 0.500 0.737
Te1 0.004 0.500 0.234
Te2 0.996 0.000 0.516

13.
# Bi2SbTe2, relaxed, DFT PBE-GGA
# Crystal system ... tetragonal
# Raw formation energy ... 194 meV/atom
# D(E_F) ... 8.4 states/eV/cell
data_Bi2SbTe2
_cell_length_a 8.801
_cell_length_b 8.801
_cell_length_c 4.055
_cell_angle_alpha 90.00
_cell_angle_beta 90.00
_cell_angle_gamma 90.00
_space_group_name_H-M_alt 'P 1'
_space_group_IT_number 1
loop_
_space_group_symop_operation_xyz
'x,y,z'
loop_
_atom_site_label
_atom_site_fract_x
_atom_site_fract_y
_atom_site_fract_z
Bi1 0.153 0.347 0.000
Bi2 0.347 0.847 0.000
Bi3 0.653 0.153 0.000
Bi4 0.847 0.653 0.000
Sb1 0.000 0.000 0.500
Sb2 0.500 0.500 0.500
Te1 0.158 0.658 0.500
Te2 0.342 0.158 0.500
Te3 0.658 0.842 0.500
Te4 0.842 0.342 0.500

14.
# BiSbTe2, relaxed, DFT PBE-GGA
# Crystal system ... cubic
# Raw formation energy ... 120 meV/atom
# D(E_F) ... 2.4 states/eV/cell
data_BiSbTe2
_cell_length_a 5.469
_cell_length_b 5.469
_cell_length_c 5.469
_cell_angle_alpha 60.00
_cell_angle_beta 60.00
_cell_angle_gamma 60.00
_space_group_name_H-M_alt 'P 1'
_space_group_IT_number 1
loop_
_space_group_symop_operation_xyz
'x,y,z'
loop_
_atom_site_label
_atom_site_fract_x
_atom_site_fract_y
_atom_site_fract_z
Bi1 0.000 0.000 0.000
Sb1 0.500 0.500 0.500
Te1 0.250 0.250 0.250
Te2 0.750 0.750 0.750

15.
# BiSbTe2, relaxed, DFT PBE-GGA
# Crystal system ... tetragonal
# Raw formation energy ... 65 meV/atom
# D(E_F) ... 4.2 states/eV/cell
data_BiSbTe2
_cell_length_a 7.053
_cell_length_b 7.053
_cell_length_c 7.053
_cell_angle_alpha 102.55
_cell_angle_beta 102.55
_cell_angle_gamma 124.42
_space_group_name_H-M_alt 'P 1'
_space_group_IT_number 1
loop_
_space_group_symop_operation_xyz
'x,y,z'
loop_
_atom_site_label
_atom_site_fract_x
_atom_site_fract_y
_atom_site_fract_z
Bi1 0.000 0.000 0.000
Bi2 0.750 0.250 0.500
Sb1 0.250 0.750 0.500
Sb2 0.500 0.500 0.000
Te1 0.129 0.625 0.004
Te2 0.375 0.379 0.504
Te3 0.621 0.125 0.996
Te4 0.875 0.871 0.496

16.
# Bi2SbTe2, relaxed, DFT PBE-GGA
# Crystal system ... monoclinic
# Raw formation energy ... -37 meV/atom
# D(E_F) ... 2.5 states/eV/cell
data_Bi2SbTe2
_cell_length_a 6.580
_cell_length_b 4.432
_cell_length_c 12.547
_cell_angle_alpha 90.00
_cell_angle_beta 102.84
_cell_angle_gamma 90.00
_space_group_name_H-M_alt 'P 1'
_space_group_IT_number 1
loop_
_space_group_symop_operation_xyz
'x,y,z'
loop_
_atom_site_label
_atom_site_fract_x
_atom_site_fract_y
_atom_site_fract_z
Bi1 0.126 0.250 0.207
Bi2 0.295 0.250 0.604
Bi3 0.705 0.750 0.396
Bi4 0.874 0.750 0.793
Sb1 0.123 0.250 0.946
Sb2 0.877 0.750 0.054
Te1 0.216 0.750 0.409
Te2 0.378 0.750 0.782
Te3 0.622 0.250 0.218
Te4 0.784 0.250 0.591

17.
# Bi4Sb3Te, relaxed, DFT PBE-GGA
# Crystal system ... monoclinic
# Raw formation energy ... -11 meV/atom
# D(E_F) ... 3.2 states/eV/cell
data_Bi4Sb3Te
_cell_length_a 7.985
_cell_length_b 4.427
_cell_length_c 8.048
_cell_angle_alpha 90.00
_cell_angle_beta 107.90
_cell_angle_gamma 90.00
_space_group_name_H-M_alt 'P 1'
_space_group_IT_number 1
loop_
_space_group_symop_operation_xyz
'x,y,z'
loop_
_atom_site_label
_atom_site_fract_x
_atom_site_fract_y
_atom_site_fract_z
Bi1 0.000 0.000 0.000
Bi2 0.002 0.500 0.512
Bi3 0.487 0.000 0.487
Bi4 0.496 0.500 0.017
Sb1 0.213 0.000 0.746
Sb2 0.216 0.500 0.248
Sb3 0.712 0.000 0.245
Te1 0.710 0.500 0.747

18.
# Bi3Sb2Te2, relaxed, DFT PBE-GGA
# Crystal system ... monoclinic
# Raw formation energy ... -34 meV/atom
# D(E_F) ... 1.9 states/eV/cell
data_Bi3Sb2Te2
_cell_length_a 8.119
_cell_length_b 8.119
_cell_length_c 7.562
_cell_angle_alpha 109.30
_cell_angle_beta 109.30
_cell_angle_gamma 32.45
_space_group_name_H-M_alt 'P 1'
_space_group_IT_number 1
loop_
_space_group_symop_operation_xyz
'x,y,z'
loop_
_atom_site_label
_atom_site_fract_x
_atom_site_fract_y
_atom_site_fract_z
Bi1 0.000 0.000 0.000
Bi2 0.299 0.299 0.329
Bi3 0.701 0.701 0.671
Sb1 0.083 0.083 0.449
Sb2 0.917 0.917 0.551
Te1 0.355 0.355 0.978
Te2 0.645 0.645 0.022

19.
# BiSb2Te4, relaxed, DFT PBE-GGA
# Crystal system ... trigonal
# Raw formation energy ... -102 meV/atom
# D(E_F) ... 2.7 states/eV/cell
data_BiSb2Te4
_cell_length_a 13.618
_cell_length_b 13.618
_cell_length_c 13.618
_cell_angle_alpha 19.15
_cell_angle_beta 19.15
_cell_angle_gamma 19.15
_space_group_name_H-M_alt 'P 1'
_space_group_IT_number 1
loop_
_space_group_symop_operation_xyz
'x,y,z'
loop_
_atom_site_label
_atom_site_fract_x
_atom_site_fract_y
_atom_site_fract_z
Bi1 0.000 0.000 0.000
Sb1 0.429 0.429 0.429
Sb2 0.571 0.571 0.571
Te1 0.134 0.134 0.134
Te2 0.288 0.288 0.288
Te3 0.712 0.712 0.712
Te4 0.866 0.866 0.866

20.
# Th8BiSb4Te3, relaxed, DFT PBE-GGA
# Crystal system ... trigonal
# Raw formation energy ... -915 meV/atom
# D(E_F) ... 11.6 states/eV/cell
data_Th8BiSb4Te3
_cell_length_a 8.987
_cell_length_b 8.987
_cell_length_c 8.987
_cell_angle_alpha 60.33
_cell_angle_beta 60.33
_cell_angle_gamma 60.33
_space_group_name_H-M_alt 'P 1'
_space_group_IT_number 1
loop_
_space_group_symop_operation_xyz
'x,y,z'
loop_
_atom_site_label
_atom_site_fract_x
_atom_site_fract_y
_atom_site_fract_z
Th1 0.249 0.249 0.249
Th2 0.251 0.746 0.746
Th3 0.254 0.254 0.749
Th4 0.254 0.749 0.254
Th5 0.746 0.251 0.746
Th6 0.746 0.746 0.251
Th7 0.749 0.254 0.254
Th8 0.751 0.751 0.751
Bi1 0.000 0.000 0.000
Sb1 0.000 0.000 0.500
Sb2 0.000 0.500 0.000
Sb3 0.500 0.000 0.000
Sb4 0.500 0.500 0.500
Te1 0.000 0.500 0.500
Te2 0.500 0.000 0.500
Te3 0.500 0.500 0.000